A geometry-optimized Tb12PmEr7 structure, computed with PBE.

Geometry as CIF:
```
data_Tb12PmEr7
_chemical_formula_sum 'Tb12 Pm1 Er7'
_cell_length_a 6.664
_cell_length_b 10.951
_cell_length_c 10.951
_cell_angle_alpha 64.01
_cell_angle_beta 78.30
_cell_angle_gamma 101.70
_symmetry_space_group_name_H-M 'P 1'
_symmetry_Int_Tables_number 1
_symmetry_space_group_name_Hall 'P 1'
loop_
_atom_site_label
_atom_site_type_symbol
_atom_site_fract_x
_atom_site_fract_y
_atom_site_fract_z
_atom_site_occupancy
Er1 Er 0.128 0.834 0.305 1
Er2 Er 0.566 0.695 0.139 1
Er3 Er 0.872 0.166 0.695 1
Er4 Er 0.705 0.139 0.166 1
Er5 Er 0.500 0.000 0.000 1
Er6 Er 0.295 0.861 0.834 1
Er7 Er 0.434 0.305 0.861 1
Tb1 Tb 0.247 0.478 0.458 1
Tb2 Tb 0.574 0.787 0.424 1
Tb3 Tb 0.214 0.212 0.213 1
Tb4 Tb 0.998 0.424 0.788 1
Tb5 Tb 0.753 0.522 0.542 1
Tb6 Tb 0.786 0.788 0.787 1
Tb7 Tb 0.295 0.542 0.936 1
Tb8 Tb 0.231 0.936 0.522 1
Tb9 Tb 0.002 0.576 0.212 1
Tb10 Tb 0.705 0.458 0.064 1
Tb11 Tb 0.426 0.213 0.576 1
Tb12 Tb 0.769 0.064 0.478 1
Pm1 Pm 0.000 0.000 0.000 1
```

## Properties
Relative energy among the computed polymorphs = 0.0251 eV/atom
Formation energy = 0.33 eV per atom
Density of states at the Fermi level = 24.392 states/eV/f.u.

A geometry-optimized Tb3Pm5Er structure, computed with PBE.

Geometry as CIF:
```
data_Tb3Pm5Er
_chemical_formula_sum 'Tb6 Pm10 Er2'
_cell_length_a 9.607
_cell_length_b 9.607
_cell_length_c 11.747
_cell_angle_alpha 52.73
_cell_angle_beta 52.73
_cell_angle_gamma 74.87
_symmetry_space_group_name_H-M 'P 1'
_symmetry_Int_Tables_number 1
_symmetry_space_group_name_Hall 'P 1'
loop_
_atom_site_label
_atom_site_type_symbol
_atom_site_fract_x
_atom_site_fract_y
_atom_site_fract_z
_atom_site_occupancy
Tb1 Tb 0.337 0.337 0.648 1
Tb2 Tb 0.000 0.000 0.500 1
Tb3 Tb 0.663 0.663 0.352 1
Tb4 Tb 0.315 0.315 0.178 1
Tb5 Tb 0.685 0.685 0.822 1
Tb6 Tb 0.000 0.000 0.000 1
Er1 Er 0.155 0.155 0.594 1
Er2 Er 0.845 0.845 0.406 1
Pm1 Pm 0.508 0.508 0.765 1
Pm2 Pm 0.157 0.662 0.739 1
Pm3 Pm 0.822 0.822 0.953 1
Pm4 Pm 0.746 0.254 0.000 1
Pm5 Pm 0.492 0.492 0.235 1
Pm6 Pm 0.338 0.843 0.261 1
Pm7 Pm 0.843 0.338 0.261 1
Pm8 Pm 0.254 0.746 0.000 1
Pm9 Pm 0.178 0.178 0.047 1
Pm10 Pm 0.662 0.157 0.739 1
```

## Properties
Relative energy among the computed polymorphs = 0.3233 eV/atom
Formation energy = 0.49 eV per atom
Density of states at the Fermi level = 13.705 states/eV/f.u.

A geometry-optimized Tb5Pm3Er2 structure, computed with PBE.

Geometry as CIF:
```
data_Tb5Pm3Er2
_chemical_formula_sum 'Tb10 Pm6 Er4'
_cell_length_a 9.525
_cell_length_b 9.475
_cell_length_c 11.130
_cell_angle_alpha 125.46
_cell_angle_beta 125.56
_cell_angle_gamma 68.84
_symmetry_space_group_name_H-M 'P 1'
_symmetry_Int_Tables_number 1
_symmetry_space_group_name_Hall 'P 1'
loop_
_atom_site_label
_atom_site_type_symbol
_atom_site_fract_x
_atom_site_fract_y
_atom_site_fract_z
_atom_site_occupancy
Tb1 Tb 0.152 0.398 0.273 1
Tb2 Tb 0.728 0.478 0.956 1
Tb3 Tb 0.848 0.602 0.727 1
Tb4 Tb 0.469 0.719 0.438 1
Tb5 Tb 0.272 0.522 0.044 1
Tb6 Tb 0.531 0.281 0.562 1
Tb7 Tb 0.974 0.224 0.448 1
Tb8 Tb 0.379 0.126 0.727 1
Tb9 Tb 0.026 0.776 0.552 1
Tb10 Tb 0.621 0.874 0.273 1
Er1 Er 0.463 0.726 0.735 1
Er2 Er 0.773 0.010 0.735 1
Er3 Er 0.537 0.274 0.265 1
Er4 Er 0.227 0.990 0.265 1
Pm1 Pm 0.982 0.221 0.749 1
Pm2 Pm 0.018 0.779 0.251 1
Pm3 Pm 0.233 0.983 0.967 1
Pm4 Pm 0.767 0.017 0.033 1
Pm5 Pm 0.734 0.472 0.251 1
Pm6 Pm 0.266 0.528 0.749 1
```

## Properties
Relative energy among the computed polymorphs = 0.0000 eV/atom
Formation energy = 0.19 eV per atom
Density of states at the Fermi level = 17.838 states/eV/f.u.

A geometry-optimized Tb4Pm4Er structure, computed with PBE.

Geometry as CIF:
```
data_Tb4Pm4Er
_chemical_formula_sum 'Tb4 Pm4 Er1'
_cell_length_a 5.601
_cell_length_b 8.861
_cell_length_c 9.004
_cell_angle_alpha 45.21
_cell_angle_beta 71.88
_cell_angle_gamma 71.58
_symmetry_space_group_name_H-M 'P 1'
_symmetry_Int_Tables_number 1
_symmetry_space_group_name_Hall 'P 1'
loop_
_atom_site_label
_atom_site_type_symbol
_atom_site_fract_x
_atom_site_fract_y
_atom_site_fract_z
_atom_site_occupancy
Pm1 Pm 0.282 0.148 0.288 1
Pm2 Pm 0.132 0.697 0.039 1
Pm3 Pm 0.718 0.852 0.712 1
Pm4 Pm 0.868 0.303 0.961 1
Tb1 Tb 0.628 0.429 0.314 1
Tb2 Tb 0.372 0.571 0.686 1
Tb3 Tb 0.926 0.768 0.379 1
Tb4 Tb 0.074 0.232 0.621 1
Er1 Er 0.500 0.000 0.000 1
```

## Properties
Relative energy among the computed polymorphs = 0.0865 eV/atom
Formation energy = 0.10 eV per atom
Density of states at the Fermi level = 15.031 states/eV/f.u.

A geometry-optimized TbPmEr structure, computed with PBE.

Geometry as CIF:
```
data_TbPmEr
_chemical_formula_sum 'Tb1 Pm1 Er1'
_cell_length_a 3.492
_cell_length_b 5.641
_cell_length_c 5.641
_cell_angle_alpha 120.00
_cell_angle_beta 90.00
_cell_angle_gamma 90.00
_symmetry_space_group_name_H-M 'P 1'
_symmetry_Int_Tables_number 1
_symmetry_space_group_name_Hall 'P 1'
loop_
_atom_site_label
_atom_site_type_symbol
_atom_site_fract_x
_atom_site_fract_y
_atom_site_fract_z
_atom_site_occupancy
Er1 Er 0.168 0.333 0.667 1
Tb1 Tb 0.667 0.667 0.333 1
Pm1 Pm 0.166 0.000 0.000 1
```

## Properties
Relative energy among the computed polymorphs = 0.0492 eV/atom
Formation energy = 0.07 eV per atom
Density of states at the Fermi level = 4.956 states/eV/f.u.

A geometry-optimized TbPm7Er4 structure, computed with PBE.

Geometry as CIF:
```
data_TbPm7Er4
_chemical_formula_sum 'Tb1 Pm7 Er4'
_cell_length_a 7.245
_cell_length_b 6.282
_cell_length_c 11.499
_cell_angle_alpha 79.54
_cell_angle_beta 50.96
_cell_angle_gamma 90.03
_symmetry_space_group_name_H-M 'P 1'
_symmetry_Int_Tables_number 1
_symmetry_space_group_name_Hall 'P 1'
loop_
_atom_site_label
_atom_site_type_symbol
_atom_site_fract_x
_atom_site_fract_y
_atom_site_fract_z
_atom_site_occupancy
Pm1 Pm 0.500 0.000 0.000 1
Pm2 Pm 0.334 0.778 0.665 1
Pm3 Pm 0.916 0.720 0.335 1
Pm4 Pm 0.084 0.280 0.665 1
Pm5 Pm 0.254 0.499 0.998 1
Pm6 Pm 0.666 0.222 0.335 1
Pm7 Pm 0.746 0.501 0.002 1
Tb1 Tb 0.000 0.000 0.000 1
Er1 Er 0.586 0.278 0.667 1
Er2 Er 0.414 0.722 0.333 1
Er3 Er 0.835 0.780 0.664 1
Er4 Er 0.165 0.220 0.336 1
```

## Properties
Relative energy among the computed polymorphs = 0.0000 eV/atom
Formation energy = 0.00 eV per atom
Density of states at the Fermi level = 15.012 states/eV/f.u.

A geometry-optimized Tb3Pm2Er structure, computed with PBE.

Geometry as CIF:
```
data_Tb3Pm2Er
_chemical_formula_sum 'Tb6 Pm4 Er2'
_cell_length_a 5.665
_cell_length_b 9.003
_cell_length_c 9.753
_cell_angle_alpha 122.69
_cell_angle_beta 90.00
_cell_angle_gamma 108.34
_symmetry_space_group_name_H-M 'P 1'
_symmetry_Int_Tables_number 1
_symmetry_space_group_name_Hall 'P 1'
loop_
_atom_site_label
_atom_site_type_symbol
_atom_site_fract_x
_atom_site_fract_y
_atom_site_fract_z
_atom_site_occupancy
Tb1 Tb 0.999 0.997 0.331 1
Tb2 Tb 0.001 0.003 0.669 1
Tb3 Tb 0.376 0.752 0.382 1
Tb4 Tb 0.624 0.248 0.618 1
Tb5 Tb 0.250 0.501 0.591 1
Tb6 Tb 0.750 0.499 0.409 1
Pm1 Pm 0.498 0.997 0.164 1
Pm2 Pm 0.502 0.003 0.836 1
Pm3 Pm 0.749 0.499 0.073 1
Pm4 Pm 0.251 0.501 0.927 1
Er1 Er 0.125 0.250 0.132 1
Er2 Er 0.875 0.750 0.868 1
```

## Properties
Relative energy among the computed polymorphs = 0.0000 eV/atom
Formation energy = 0.06 eV per atom
Density of states at the Fermi level = 10.076 states/eV/f.u.

A geometry-optimized TbPm5Er5 structure, computed with PBE.

Geometry as CIF:
```
data_TbPm5Er5
_chemical_formula_sum 'Tb1 Pm5 Er5'
_cell_length_a 6.075
_cell_length_b 6.075
_cell_length_c 11.754
_cell_angle_alpha 90.00
_cell_angle_beta 90.00
_cell_angle_gamma 120.00
_symmetry_space_group_name_H-M 'P 1'
_symmetry_Int_Tables_number 1
_symmetry_space_group_name_Hall 'P 1'
loop_
_atom_site_label
_atom_site_type_symbol
_atom_site_fract_x
_atom_site_fract_y
_atom_site_fract_z
_atom_site_occupancy
Pm1 Pm 0.667 0.333 0.153 1
Pm2 Pm 0.000 0.000 0.000 1
Pm3 Pm 0.333 0.667 0.316 1
Pm4 Pm 0.667 0.333 0.847 1
Pm5 Pm 0.333 0.667 0.684 1
Er1 Er 0.000 0.000 0.734 1
Er2 Er 0.833 0.167 0.500 1
Er3 Er 0.000 0.000 0.266 1
Er4 Er 0.333 0.167 0.500 1
Er5 Er 0.833 0.667 0.500 1
Tb1 Tb 0.333 0.667 0.000 1
```

## Properties
Formation energy = 0.30 eV per atom
Density of states at the Fermi level = 22.045 states/eV/f.u.

For each record above, in turn, the calculated VASP energy values are -4.287 -4.199 -4.459 -4.572 -4.579 -4.676 -4.597 -4.358 eV per atom.